{"formula": "NbCdSeO6", "functional": "GGA-PBE", "state": "relaxed", "sg": "P-31c (163)", "volume_a3_per_atom": 12.96, "mass_density_g_cm3": 5.415, "lattice": [[5.253, 0.000, 0.000], [-2.627, 4.549, 0.000], [0.000, 0.000, 9.760]], "species": ["Nb", "Nb", "Cd", "Cd", "Se", "Se", "O", "O", "O", "O", "O", "O", "O", "O", "O", "O", "O", "O"], "fractional_positions": [[0.333, 0.667, 0.250], [0.667, 0.333, 0.750], [0.000, 0.000, 0.000], [0.000, 0.000, 0.500], [0.333, 0.667, 0.750], [0.667, 0.333, 0.250], [0.014, 0.380, 0.639], [0.014, 0.634, 0.861], [0.366, 0.380, 0.861], [0.366, 0.986, 0.639], [0.380, 0.014, 0.139], [0.380, 0.366, 0.361], [0.620, 0.634, 0.639], [0.620, 0.986, 0.861], [0.634, 0.014, 0.361], [0.634, 0.620, 0.139], [0.986, 0.366, 0.139], [0.986, 0.620, 0.361]]}


{"formula": "NbCdSi2O8", "functional": "GGA-PBE", "state": "relaxed", "sg": "P-3m1 (164)", "volume_a3_per_atom": 13.43, "mass_density_g_cm3": 4.014, "lattice": [[5.380, 0.000, 0.000], [-2.690, 4.659, 0.000], [0.000, 0.000, 6.428]], "species": ["Nb", "Cd", "Si", "Si", "O", "O", "O", "O", "O", "O", "O", "O"], "fractional_positions": [[0.000, 0.000, 0.000], [0.000, 0.000, 0.500], [0.333, 0.667, 0.722], [0.667, 0.333, 0.278], [0.167, 0.335, 0.808], [0.167, 0.833, 0.808], [0.333, 0.667, 0.469], [0.335, 0.167, 0.192], [0.665, 0.833, 0.808], [0.667, 0.333, 0.531], [0.833, 0.167, 0.192], [0.833, 0.665, 0.192]]}


{"formula": "NbCd2SnO", "functional": "GGA-PBE", "state": "relaxed", "sg": "P4/mmm (123)", "volume_a3_per_atom": 20.16, "mass_density_g_cm3": 7.454, "lattice": [[4.953, 0.000, 0.000], [0.000, 4.953, 0.000], [0.000, 0.000, 4.108]], "species": ["Nb", "Cd", "Cd", "Sn", "O"], "fractional_positions": [[0.000, 0.000, 0.000], [0.000, 0.500, 0.500], [0.500, 0.000, 0.500], [0.500, 0.500, 0.000], [0.000, 0.000, 0.500]]}


Number 1: formation energy from raw total energies -1361 meV/atom. Number 2: formation energy from raw total energies -2081 meV/atom. Number 3: formation energy from raw total energies -150 meV/atom.